Model P:
A relaxed Pa2NbSn crystal, computed with PBE.

It has space group P4/mmm (No. 123), with a = 3.9318 Å, b = 3.9318 Å, c = 6.2467 Å, α = 90.00°, β = 90.00° and γ = 90.00°. The inequivalent atoms are Pa at (0.0000, 0.0000, 0.2447), Nb at (0.5000, 0.5000, 0.5000) and Sn at (0.5000, 0.5000, 0.0000).

---

Model Q:
A relaxed Pa2NbSn crystal, computed with PBE.

It has space group Fm-3m (No. 225), with a = 7.3033 Å, b = 7.3033 Å, c = 7.3033 Å, α = 90.00°, β = 90.00° and γ = 90.00°. The inequivalent atoms are Pa at (0.2500, 0.2500, 0.2500), Nb at (0.0000, 0.0000, 0.0000) and Sn at (0.0000, 0.0000, 0.5000).

---

Model R:
A relaxed Pa2NbSn crystal, computed with PBE.

It has space group P4/mmm (No. 123), with a = 4.3851 Å, b = 4.3851 Å, c = 4.7396 Å, α = 90.00°, β = 90.00° and γ = 90.00°. The inequivalent atoms are Pa at (0.0000, 0.5000, 0.0000), Nb at (0.0000, 0.0000, 0.5000) and Sn at (0.5000, 0.5000, 0.5000).

---

Most stable structure, least stable structure: model R, model Q.

---

Model P:
A relaxed PaNbSn2 crystal, computed with PBE.

It has space group P4/mmm (No. 123), with a = 3.6884 Å, b = 3.6884 Å, c = 6.7136 Å, α = 90.00°, β = 90.00° and γ = 90.00°. The inequivalent atoms are Pa at (0.0000, 0.0000, 0.0000), Nb at (0.0000, 0.0000, 0.5000) and Sn at (0.5000, 0.5000, 0.2807).

---

Model Q:
A relaxed PaNbSn2 crystal, computed with PBE.

It has space group R-3m (No. 166, hexagonal axes), with a = 3.1533 Å, b = 3.1533 Å, c = 33.5955 Å, α = 90.00°, β = 90.00° and γ = 120.00°. The inequivalent atoms are Pa at (0.0000, 0.0000, 0.0000), Nb at (0.0000, 0.0000, 0.5000) and Sn at (0.0000, 0.0000, 0.0953).

---

Most stable structure, least stable structure: model P, model Q.

---

Model P:
A relaxed PaNbSn2 crystal, computed with PBE.

It has space group P4/mmm (No. 123), with a = 4.4047 Å, b = 4.4047 Å, c = 4.7436 Å, α = 90.00°, β = 90.00° and γ = 90.00°. The inequivalent atoms are Pa at (0.0000, 0.0000, 0.0000), Nb at (0.5000, 0.5000, 0.0000) and Sn at (0.0000, 0.5000, 0.5000).

---

Model Q:
A relaxed PaNbSn2 crystal, computed with PBE.

It has space group Fm-3m (No. 225), with a = 7.1436 Å, b = 7.1436 Å, c = 7.1436 Å, α = 90.00°, β = 90.00° and γ = 90.00°. The inequivalent atoms are Pa at (0.0000, 0.0000, 0.0000), Nb at (0.0000, 0.0000, 0.5000) and Sn at (0.2500, 0.2500, 0.2500).

---

Most stable structure, least stable structure: model Q, model P.